Pm3Pr6Dy after structural relaxation. Source: the Alexandria database, functional PBE.

Results
N(E_F) = 52.61 states/eV per cell
Size of the total moment = 0.0 μB/cell
Energy of formation from the pure elements = 0.132 eV/atom
Final energy = -0.33968 Ry/atom

Lattice parameters (Å, degrees): 11.0711 19.5014 6.5546 90.00 90.00 90.00
Space group Cmc2_1 (No. 36)
Unique sites:
Pm 0.0000 0.1163 0.0000 [4 per cell]
Pm 0.1741 0.3827 0.3785 [8 per cell]
Pr 0.0000 0.2209 0.5694 [4 per cell]
Pr 0.0000 0.4661 0.7777 [4 per cell]
Pr 0.1703 0.0408 0.4736 [8 per cell]
Pr 0.2322 0.2083 0.2847 [8 per cell]
Dy 0.0000 0.3088 0.0280 [4 per cell]